[1]
Pa4Ge6Pd5 | PBE | relaxed

a b c (Å): 4.242 18.910 14.951
angles (deg): 90.00 90.00 90.00
Space group Cmc2_1 (No. 36)
Unique sites:
Pa: 0.000 0.019 0.000 (multiplicity 4)
Pa: 0.000 0.038 0.268 (multiplicity 4)
Pa: 0.000 0.163 0.804 (multiplicity 4)
Pa: 0.000 0.180 0.443 (multiplicity 4)
Ge: 0.000 0.108 0.618 (multiplicity 4)
Ge: 0.000 0.222 0.987 (multiplicity 4)
Ge: 0.000 0.237 0.261 (multiplicity 4)
Ge: 0.000 0.419 0.627 (multiplicity 4)
Ge: 0.000 0.428 0.916 (multiplicity 4)
Ge: 0.000 0.444 0.354 (multiplicity 4)
Pd: 0.000 0.153 0.130 (multiplicity 4)
Pd: 0.000 0.309 0.117 (multiplicity 4)
Pd: 0.000 0.343 0.780 (multiplicity 4)
Pd: 0.000 0.354 0.475 (multiplicity 4)
Pd: 0.000 0.453 0.179 (multiplicity 4)

Crystal system: orthorhombic
DOS(E_F), states/eV/cell: 64.228
Total magnetic moment, Bohr magnetons per cell: 0.000
E, eV per atom: -6.6581


[2]
YCuSn3 | PBE | relaxed

a b c (Å): 5.790 5.790 5.790
angles (deg): 90.00 90.00 90.00
Space group Pm-3m (No. 221)
Unique sites:
Y: 0.000 0.000 0.000 (multiplicity 1)
Cu: 0.500 0.500 0.500 (multiplicity 1)
Sn: 0.000 0.000 0.500 (multiplicity 3)

Crystal system: cubic
DOS(E_F), states/eV/cell: 4.740
Total magnetic moment, Bohr magnetons per cell: 0.000
E, eV per atom: -3.6370
ΔE to the lowest computed polymorph, meV/atom: 1223


[3]
BeVAg | PBE | relaxed

a b c (Å): 3.7653 3.7653 9.3267
angles (deg): 90.00 90.00 120.00
Space group P6_3/mmc (No. 194)
Unique sites:
Be: 0.0000 0.0000 0.2500 (multiplicity 2)
V: 0.0000 0.0000 0.0000 (multiplicity 2)
Ag: 0.3333 0.6667 0.2500 (multiplicity 2)

Crystal system: hexagonal
DOS(E_F), states/eV/cell: 5.692
Total magnetic moment, Bohr magnetons per cell: 7.068
E, eV per atom: -4.0081
ΔE to the lowest computed polymorph, meV/atom: 1116


[4]
SrMn3Fe | PBE | relaxed

a b c (Å): 4.653 4.653 4.653
angles (deg): 90.00 90.00 90.00
Space group Pm-3m (No. 221)
Unique sites:
Sr: 0.000 0.000 0.000 (multiplicity 1)
Mn: 0.000 0.500 0.500 (multiplicity 3)
Fe: 0.500 0.500 0.500 (multiplicity 1)

Crystal system: cubic
DOS(E_F), states/eV/cell: 8.601
Total magnetic moment, Bohr magnetons per cell: 11.788
E, eV per atom: -6.8127
ΔE to the lowest computed polymorph, meV/atom: 0


[5]
Nd5Sb2Rh | PBE | relaxed

a b c (Å): 7.212 7.212 8.913
angles (deg): 90.00 90.00 90.00
Space group I4mm (No. 107)
Unique sites:
Nd: 0.000 0.000 0.000 (multiplicity 2)
Nd: 0.249 0.249 0.738 (multiplicity 8)
Sb: 0.000 0.500 0.491 (multiplicity 4)
Rh: 0.000 0.000 0.387 (multiplicity 2)

Crystal system: tetragonal
DOS(E_F), states/eV/cell: 15.456
Total magnetic moment, Bohr magnetons per cell: 0.000
E, eV per atom: -5.4763


[6]
HoAlZn2 | PBE | relaxed

a b c (Å): 4.440 10.348 6.493
angles (deg): 90.00 90.00 90.00
Space group Cmcm (No. 63)
Unique sites:
Ho: 0.000 0.095 0.250 (multiplicity 4)
Al: 0.000 0.198 0.750 (multiplicity 4)
Zn: 0.000 0.381 0.055 (multiplicity 8)

Crystal system: orthorhombic
DOS(E_F), states/eV/cell: 4.137
Total magnetic moment, Bohr magnetons per cell: 0.000
E, eV per atom: -3.1163


[7]
Hf2Sn4Pd | PBE | relaxed

a b c (Å): 18.206 3.280 5.719
angles (deg): 90.00 107.65 90.00
Space group C2/m (No. 12)
Unique sites:
Hf: 0.249 0.000 0.252 (multiplicity 4)
Sn: 0.109 0.000 0.796 (multiplicity 4)
Sn: 0.110 0.500 0.277 (multiplicity 4)
Pd: 0.000 0.500 0.500 (multiplicity 2)

Crystal system: monoclinic
DOS(E_F), states/eV/cell: 7.095
Total magnetic moment, Bohr magnetons per cell: 0.000
E, eV per atom: -6.0907
ΔE to the lowest computed polymorph, meV/atom: 0


[8]
NbAs3Ir | PBE | relaxed

a b c (Å): 4.905 4.905 4.905
angles (deg): 90.00 90.00 90.00
Space group Pm-3m (No. 221)
Unique sites:
Nb: 0.000 0.000 0.000 (multiplicity 1)
As: 0.000 0.000 0.500 (multiplicity 3)
Ir: 0.500 0.500 0.500 (multiplicity 1)

Crystal system: cubic
DOS(E_F), states/eV/cell: 4.010
Total magnetic moment, Bohr magnetons per cell: 0.999
E, eV per atom: -5.5085
ΔE to the lowest computed polymorph, meV/atom: 155